No. 1
{"formula": "PuZn2Pb", "functional": "GGA-PBE", "state": "relaxed", "lattice": [[-4.964, 0.540, -0.472], [-2.588, -3.098, -2.976], [-3.094, -3.400, 2.005]], "species": ["Pb", "Zn", "Zn", "Pu"], "fractional_positions": [[0.500, 0.500, 0.500], [0.750, 0.750, 0.750], [0.250, 0.250, 0.250], [0.000, 0.000, 0.000]], "e_above_lowest_polymorph_kcal_per_mol_atoms": 0.56, "ef_ev_per_atom": -0.006, "total_magnetization_mub_per_cell": 5.76, "e_tot_ev_per_cell": -20.61, "space_group": "No. 225"}

=====

No. 2
{"formula": "Sm15Tm4Mg", "functional": "GGA-PBE", "state": "relaxed", "lattice": [[5.059, 0.000, 0.000], [0.000, 5.059, 0.000], [0.000, 0.000, 25.362]], "species": ["Sm", "Sm", "Sm", "Sm", "Sm", "Sm", "Sm", "Sm", "Sm", "Sm", "Sm", "Sm", "Sm", "Sm", "Sm", "Tm", "Tm", "Tm", "Tm", "Mg"], "fractional_positions": [[0.000, 0.500, 0.901], [0.500, 0.500, 0.601], [0.500, 0.000, 0.099], [0.500, 0.500, 0.000], [0.000, 0.500, 0.701], [0.500, 0.000, 0.299], [0.000, 0.500, 0.299], [0.500, 0.000, 0.701], [0.000, 0.500, 0.500], [0.000, 0.500, 0.099], [0.500, 0.000, 0.500], [0.500, 0.500, 0.197], [0.500, 0.500, 0.399], [0.500, 0.000, 0.901], [0.500, 0.500, 0.803], [0.000, 0.000, 0.198], [0.000, 0.000, 0.399], [0.000, 0.000, 0.601], [0.000, 0.000, 0.802], [0.000, 0.000, 0.000]], "ef_ev_per_atom": 0.013, "total_magnetization_mub_per_cell": 0.00, "e_tot_ev_per_cell": -90.01, "space_group": "No. 123"}

=====

No. 3
{"formula": "Mg3InSi", "functional": "GGA-PBE", "state": "relaxed", "lattice": [[5.055, 0.000, 0.000], [0.000, 5.055, 0.000], [0.000, 0.000, 5.055]], "species": ["Mg", "Mg", "Mg", "Si", "In"], "fractional_positions": [[0.500, 0.000, 0.000], [0.000, 0.500, 0.000], [0.000, 0.000, 0.500], [0.000, 0.000, 0.000], [0.500, 0.500, 0.500]], "e_above_lowest_polymorph_kcal_per_mol_atoms": 0.00, "total_magnetization_mub_per_cell": 0.00, "formation_energy_uncorrected_ev_per_fu": 0.8, "e_tot_ev_per_cell": -12.10, "space_group": "No. 221"}

=====

No. 4
{"formula": "BAs2BrN", "functional": "GGA-PBE", "state": "relaxed", "lattice": [[-2.354, 0.658, 3.538], [-2.684, -3.137, -1.202], [2.671, -3.193, 2.371]], "species": ["As", "As", "Br", "B", "N"], "fractional_positions": [[0.500, 0.000, 0.000], [0.000, 0.500, 0.000], [0.000, 0.000, 0.500], [0.500, 0.500, 0.500], [0.000, 0.000, 0.000]], "e_above_lowest_polymorph_kcal_per_mol_atoms": 0.00, "total_magnetization_mub_per_cell": 0.00, "formation_energy_uncorrected_ev_per_fu": 8.4, "e_tot_ev_per_cell": -17.54, "space_group": "No. 123"}

=====

No. 5
{"formula": "Pa2AuO", "functional": "GGA-PBE", "state": "relaxed", "lattice": [[3.577, 0.000, 0.000], [1.788, 3.098, 0.000], [1.788, 1.033, 7.228]], "species": ["O", "Au", "Pa", "Pa"], "fractional_positions": [[0.500, 0.500, 0.500], [0.000, 0.000, 0.000], [0.230, 0.230, 0.311], [0.770, 0.770, 0.689]], "total_magnetization_mub_per_cell": 0.00, "formation_energy_uncorrected_ev_per_fu": -4.8, "e_tot_ev_per_cell": -32.06, "space_group": "No. 166"}

=====

No. 6
{"formula": "SrTa2Au", "functional": "GGA-PBE", "state": "relaxed", "lattice": [[-2.372, 1.449, 4.049], [-2.517, -4.217, 0.035], [4.590, -5.536, 7.649]], "species": ["Sr", "Sr", "Ta", "Ta", "Ta", "Ta", "Au", "Au"], "fractional_positions": [[0.500, 0.500, 0.000], [0.250, 0.750, 0.500], [0.875, 0.625, 0.250], [0.875, 0.125, 0.250], [0.875, 0.125, 0.750], [0.375, 0.125, 0.750], [0.000, 0.000, 0.000], [0.750, 0.250, 0.500]], "e_above_lowest_polymorph_kcal_per_mol_atoms": 15.34, "ef_ev_per_atom": 0.886, "total_magnetization_mub_per_cell": 0.00, "e_tot_ev_per_cell": -50.24, "space_group": "No. 141"}

=====

No. 7
{"formula": "SrCdOF2", "functional": "GGA-PBE", "state": "relaxed", "lattice": [[-3.999, 0.512, -1.796], [-1.867, -0.988, 3.875], [0.047, 4.200, 1.093]], "species": ["O", "F", "F", "Cd", "Sr"], "fractional_positions": [[0.000, 0.000, 0.500], [0.500, 0.000, 0.000], [0.000, 0.500, 0.000], [0.000, 0.000, 0.000], [0.500, 0.500, 0.500]], "e_above_lowest_polymorph_kcal_per_mol_atoms": 0.00, "total_magnetization_mub_per_cell": 0.00, "formation_energy_uncorrected_ev_per_fu": -11.4, "e_tot_ev_per_cell": -22.72, "space_group": "No. 123"}

=====

No. 8
{"formula": "TaCd4Pt2", "functional": "GGA-PBE", "state": "relaxed", "lattice": [[-4.208, -2.933, 1.209], [3.151, -3.634, 2.153], [-0.998, -0.141, 7.672]], "species": ["Ta", "Cd", "Cd", "Cd", "Cd", "Pt", "Pt"], "fractional_positions": [[0.000, 0.000, 0.000], [0.790, 0.790, 0.419], [0.000, 0.500, 0.000], [0.210, 0.210, 0.581], [0.500, 0.000, 0.000], [0.596, 0.596, 0.807], [0.404, 0.404, 0.193]], "ef_ev_per_atom": 0.875, "total_magnetization_mub_per_cell": 0.00, "e_tot_ev_per_cell": -21.47, "space_group": "No. 139"}

=====

No. 9
{"formula": "Li2CePtN", "functional": "GGA-PBE", "state": "relaxed", "lattice": [[5.904, 0.000, 0.000], [0.000, 5.904, 0.000], [-2.952, -2.952, 4.553]], "species": ["Ce", "Ce", "N", "N", "Pt", "Pt", "Li", "Li", "Li", "Li"], "fractional_positions": [[0.750, 0.750, 0.500], [0.250, 0.250, 0.500], [0.000, 0.000, 0.000], [0.500, 0.500, 0.000], [0.750, 0.250, 0.500], [0.250, 0.750, 0.500], [0.309, 0.809, 0.000], [0.191, 0.309, 0.000], [0.809, 0.691, 0.000], [0.691, 0.191, 0.000]], "total_magnetization_mub_per_cell": 0.00, "formation_energy_uncorrected_ev_per_fu": -4.0, "e_tot_ev_per_cell": -56.22, "space_group": "No. 140"}

=====

No. 10
{"formula": "Mn3Ag5Br12", "functional": "GGA-PBE", "state": "relaxed", "lattice": [[-3.600, -7.361, 12.363], [14.765, 0.728, -1.198], [-5.594, 13.723, 0.611]], "species": ["Br", "Br", "Br", "Br", "Br", "Br", "Br", "Br", "Br", "Br", "Br", "Br", "Br", "Br", "Br", "Br", "Br", "Br", "Br", "Br", "Br", "Br", "Br", "Br", "Br", "Br", "Br", "Br", "Br", "Br", "Br", "Br", "Br", "Br", "Br", "Br", "Br", "Br", "Br", "Br", "Br", "Br", "Br", "Br", "Br", "Br", "Br", "Br", "Mn", "Mn", "Mn", "Mn", "Mn", "Mn", "Mn", "Mn", "Mn", "Mn", "Mn", "Mn", "Ag", "Ag", "Ag", "Ag", "Ag", "Ag", "Ag", "Ag", "Ag", "Ag", "Ag", "Ag", "Ag", "Ag", "Ag", "Ag", "Ag", "Ag", "Ag", "Ag"], "fractional_positions": [[0.860, 0.805, 0.982], [0.360, 0.482, 0.305], [0.860, 0.054, 0.378], [0.018, 0.324, 0.378], [0.676, 0.695, 0.054], [0.640, 0.122, 0.446], [0.140, 0.946, 0.622], [0.378, 0.554, 0.860], [0.446, 0.622, 0.640], [0.360, 0.878, 0.554], [0.518, 0.878, 0.824], [0.195, 0.140, 0.518], [0.622, 0.176, 0.982], [0.176, 0.554, 0.195], [0.140, 0.195, 0.018], [0.695, 0.018, 0.640], [0.554, 0.378, 0.360], [0.176, 0.622, 0.482], [0.554, 0.176, 0.695], [0.878, 0.518, 0.324], [0.982, 0.305, 0.860], [0.878, 0.360, 0.054], [0.305, 0.324, 0.446], [0.695, 0.676, 0.554], [0.054, 0.860, 0.878], [0.824, 0.378, 0.518], [0.518, 0.640, 0.195], [0.195, 0.054, 0.176], [0.122, 0.640, 0.946], [0.622, 0.446, 0.140], [0.805, 0.946, 0.824], [0.824, 0.446, 0.805], [0.324, 0.305, 0.946], [0.982, 0.676, 0.622], [0.640, 0.518, 0.695], [0.305, 0.982, 0.360], [0.482, 0.122, 0.176], [0.324, 0.018, 0.878], [0.378, 0.824, 0.018], [0.946, 0.140, 0.122], [0.946, 0.805, 0.324], [0.018, 0.695, 0.140], [0.805, 0.860, 0.482], [0.054, 0.195, 0.676], [0.676, 0.982, 0.122], [0.446, 0.824, 0.305], [0.482, 0.360, 0.805], [0.122, 0.482, 0.676], [0.250, 0.625, 0.875], [0.125, 0.875, 0.750], [0.250, 0.125, 0.375], [0.750, 0.875, 0.625], [0.875, 0.750, 0.125], [0.875, 0.125, 0.250], [0.375, 0.750, 0.625], [0.125, 0.250, 0.875], [0.375, 0.625, 0.250], [0.625, 0.375, 0.750], [0.625, 0.250, 0.375], [0.750, 0.375, 0.125], [0.875, 0.250, 0.625], [0.250, 0.375, 0.625], [0.750, 0.625, 0.375], [0.375, 0.125, 0.750], [0.500, 0.000, 0.000], [0.500, 0.500, 0.500], [0.625, 0.875, 0.250], [0.000, 0.500, 0.500], [0.875, 0.625, 0.750], [0.250, 0.875, 0.125], [0.750, 0.125, 0.875], [0.125, 0.750, 0.375], [0.000, 0.000, 0.000], [0.000, 0.500, 0.000], [0.125, 0.375, 0.250], [0.000, 0.000, 0.500], [0.500, 0.000, 0.500], [0.625, 0.750, 0.875], [0.500, 0.500, 0.000], [0.375, 0.250, 0.125]], "total_magnetization_mub_per_cell": 56.00, "formation_energy_uncorrected_ev_per_fu": -8.2, "e_tot_ev_per_cell": -280.12, "space_group": "No. 230"}

=====

No. 11
{"formula": "NdErTlCd", "functional": "GGA-PBE", "state": "relaxed", "lattice": [[5.397, 0.000, 0.000], [2.698, 4.674, 0.000], [2.698, 1.558, 4.406]], "species": ["Cd", "Nd", "Er", "Tl"], "fractional_positions": [[0.750, 0.750, 0.750], [0.500, 0.500, 0.500], [0.000, 0.000, 0.000], [0.250, 0.250, 0.250]], "ef_ev_per_atom": -0.336, "total_magnetization_mub_per_cell": 0.01, "e_tot_ev_per_cell": -13.96, "space_group": "No. 216"}

=====

No. 12
{"formula": "Pa2Si3Ir2", "functional": "GGA-PBE", "state": "relaxed", "lattice": [[4.022, 0.000, -0.959], [0.000, 6.826, 0.000], [0.046, 0.000, 9.108]], "species": ["Ir", "Ir", "Ir", "Ir", "Si", "Si", "Si", "Si", "Si", "Si", "Pa", "Pa", "Pa", "Pa"], "fractional_positions": [[0.309, 0.043, 0.617], [0.309, 0.457, 0.617], [0.691, 0.957, 0.383], [0.691, 0.543, 0.383], [0.560, 0.433, 0.120], [0.220, 0.750, 0.441], [0.780, 0.250, 0.559], [0.440, 0.567, 0.880], [0.440, 0.933, 0.880], [0.560, 0.067, 0.120], [0.154, 0.250, 0.308], [0.053, 0.750, 0.105], [0.947, 0.250, 0.895], [0.846, 0.750, 0.692]], "total_magnetization_mub_per_cell": 0.00, "formation_energy_uncorrected_ev_per_fu": -5.8, "e_tot_ev_per_cell": -117.58, "space_group": "No. 63"}

=====

No. 13
{"formula": "TbTcB2", "functional": "GGA-PBE", "state": "relaxed", "lattice": [[-2.159, 2.654, 0.632], [-1.335, 0.436, 3.183], [2.964, 4.075, 2.587]], "species": ["Tc", "Tb", "B", "B"], "fractional_positions": [[0.000, 0.000, 0.000], [0.500, 0.500, 0.500], [0.275, 0.275, 0.174], [0.725, 0.725, 0.826]], "e_above_lowest_polymorph_kcal_per_mol_atoms": 10.53, "ef_ev_per_atom": -0.095, "total_magnetization_mub_per_cell": 0.00, "e_tot_ev_per_cell": -28.73, "space_group": "No. 166"}

=====

No. 14
{"formula": "Mn4HN", "functional": "GGA-PBE", "state": "relaxed", "lattice": [[-2.362, 1.705, -3.422], [0.504, -4.548, -2.528], [-4.498, -2.133, 0.356]], "species": ["N", "N", "Mn", "Mn", "Mn", "Mn", "Mn", "Mn", "Mn", "Mn", "H", "H"], "fractional_positions": [[0.000, 0.000, 0.500], [0.500, 0.500, 0.500], [0.824, 0.805, 0.273], [0.176, 0.195, 0.727], [0.830, 0.309, 0.286], [0.170, 0.691, 0.714], [0.655, 0.428, 0.805], [0.364, 0.076, 0.207], [0.345, 0.572, 0.195], [0.636, 0.924, 0.793], [0.788, 0.136, 0.009], [0.212, 0.864, 0.991]], "total_magnetization_mub_per_cell": 5.50, "e_tot_ev_per_cell": -97.52, "space_group": "No. 2"}

=====

No. 15
{"formula": "CePa2RuN5", "functional": "GGA-PBE", "state": "relaxed", "lattice": [[-3.550, -4.985, 2.247], [2.265, 1.098, 6.014], [-3.838, 5.594, -3.110]], "species": ["N", "N", "N", "N", "N", "N", "N", "N", "N", "N", "Ru", "Ru", "Pa", "Pa", "Pa", "Pa", "Ce", "Ce"], "fractional_positions": [[0.519, 0.723, 0.742], [0.223, 0.019, 0.742], [0.500, 0.500, 0.000], [0.777, 0.981, 0.258], [0.981, 0.481, 0.258], [0.000, 0.000, 0.000], [0.277, 0.777, 0.258], [0.723, 0.223, 0.742], [0.481, 0.277, 0.258], [0.019, 0.519, 0.742], [0.750, 0.250, 0.500], [0.250, 0.750, 0.500], [0.823, 0.677, 0.000], [0.323, 0.823, 0.000], [0.677, 0.177, 0.000], [0.177, 0.323, 0.000], [0.750, 0.750, 0.500], [0.250, 0.250, 0.500]], "total_magnetization_mub_per_cell": 1.51, "formation_energy_uncorrected_ev_per_fu": -10.2, "e_tot_ev_per_cell": -172.08, "space_group": "No. 140"}

=====

No. 16
{"formula": "Zr3AsH", "functional": "GGA-PBE", "state": "relaxed", "lattice": [[3.519, 0.347, -0.382], [-0.803, 7.585, 1.305], [-1.386, -1.961, 6.456]], "species": ["Zr", "Zr", "Zr", "Zr", "Zr", "Zr", "As", "As", "H", "H"], "fractional_positions": [[0.927, 0.031, 0.710], [0.073, 0.969, 0.290], [0.965, 0.316, 0.067], [0.035, 0.684, 0.933], [0.329, 0.393, 0.657], [0.671, 0.607, 0.343], [0.356, 0.758, 0.630], [0.644, 0.242, 0.370], [0.667, 0.764, 0.117], [0.333, 0.236, 0.883]], "e_above_lowest_polymorph_kcal_per_mol_atoms": 0.00, "total_magnetization_mub_per_cell": 0.00, "e_tot_ev_per_cell": -73.58, "space_group": "No. 2"}

=====

No. 17
{"formula": "Ac4AgHg", "functional": "GGA-PBE", "state": "relaxed", "lattice": [[3.993, -0.001, 0.000], [0.001, 3.993, 0.000], [-0.001, -0.001, 13.834]], "species": ["Hg", "Ac", "Ac", "Ac", "Ac", "Ag"], "fractional_positions": [[0.000, 0.000, 0.000], [0.500, 0.500, 0.852], [0.500, 0.500, 0.148], [0.000, 0.000, 0.641], [0.000, 0.000, 0.359], [0.500, 0.500, 0.500]], "e_above_lowest_polymorph_kcal_per_mol_atoms": 0.00, "ef_ev_per_atom": -0.225, "total_magnetization_mub_per_cell": 0.00, "e_tot_ev_per_cell": -20.94, "space_group": "No. 123"}

=====

No. 18
{"formula": "Er3Tm4Ag4", "functional": "GGA-PBE", "state": "relaxed", "lattice": [[4.970, 0.000, 0.000], [0.000, 7.417, 0.000], [-2.485, -3.708, 7.806]], "species": ["Tm", "Tm", "Tm", "Tm", "Er", "Er", "Er", "Ag", "Ag", "Ag", "Ag"], "fractional_positions": [[0.676, 0.454, 0.351], [0.324, 0.546, 0.649], [0.676, 0.898, 0.351], [0.324, 0.102, 0.649], [0.000, 0.500, 0.000], [0.895, 0.895, 0.789], [0.105, 0.105, 0.211], [0.500, 0.189, 0.000], [0.195, 0.695, 0.391], [0.500, 0.811, 0.000], [0.805, 0.305, 0.609]], "ef_ev_per_atom": -0.108, "total_magnetization_mub_per_cell": 0.00, "e_tot_ev_per_cell": -44.17, "space_group": "No. 71"}

=====

No. 19
{"formula": "LiSiN2", "functional": "GGA-PBE", "state": "relaxed", "lattice": [[-2.370, 3.736, 0.914], [-3.720, -1.953, -1.662], [-3.963, -0.631, 3.469]], "species": ["Si", "Si", "N", "N", "N", "N", "Li", "Li"], "fractional_positions": [[0.000, 0.000, 0.000], [0.750, 0.250, 0.500], [0.375, 0.297, 0.750], [0.047, 0.625, 0.250], [0.703, 0.125, 0.250], [0.875, 0.953, 0.750], [0.500, 0.500, 0.000], [0.250, 0.750, 0.500]], "total_magnetization_mub_per_cell": 2.00, "formation_energy_uncorrected_ev_per_fu": -2.4, "e_tot_ev_per_cell": -52.73, "space_group": "No. 122"}

=====

No. 20
{"formula": "LaNpGe2O8", "functional": "GGA-PBE", "state": "relaxed", "lattice": [[6.053, 0.077, 0.000], [-2.616, 5.459, 0.000], [-1.719, -2.768, 5.102]], "species": ["O", "O", "O", "O", "O", "O", "O", "O", "La", "Ge", "Ge", "Np"], "fractional_positions": [[0.865, 0.670, 0.194], [0.735, 0.060, 0.675], [0.330, 0.524, 0.194], [0.940, 0.615, 0.675], [0.330, 0.135, 0.806], [0.476, 0.670, 0.806], [0.385, 0.060, 0.325], [0.940, 0.265, 0.325], [0.000, 0.000, 0.000], [0.750, 0.250, 0.500], [0.500, 0.500, 0.000], [0.250, 0.750, 0.500]], "total_magnetization_mub_per_cell": 2.00, "formation_energy_uncorrected_ev_per_fu": -28.4, "e_tot_ev_per_cell": -95.14, "space_group": "No. 119"}